NiBTe2: relaxed, PBE.

Computed properties:
electronic total energy	-15.56	eV for the cell shown
energy relative to the elements, uncorrected	0.796	eV per atom

abc: 7.9364 7.9364 7.9364
angles: 25.65 25.65 25.65
With the nearest neighbours (Å) after each atom.
Sites, in units of the cell vectors:
Te: 0.1043 0.1043 0.1043  1 Ni 2.40, 3 B 2.49
Te: 0.8957 0.8957 0.8957  1 Ni 2.40, 3 B 2.49
B: 0.5000 0.5000 0.5000  6 Te 2.49
Ni: 0.0000 0.0000 0.0000  2 Te 2.40



Ni3BTe: relaxed, PBE.

Computed properties:
ΔE to the lowest computed polymorph	0.000	eV per atom
electronic total energy	-27.16	eV for the cell shown
energy relative to the elements, uncorrected	0.001	eV per atom

abc: 3.9870 3.9870 3.9870
angles: 90.00 90.00 90.00
With the nearest neighbours (Å) after each atom.
Sites, in units of the cell vectors:
Ni: 0.0000 0.5000 0.0000  2 B 1.99
Ni: 0.0000 0.0000 0.5000  2 B 1.99
Ni: 0.5000 0.0000 0.0000  2 B 1.99
Te: 0.5000 0.5000 0.5000  12 Ni 2.82
B: 0.0000 0.0000 0.0000  6 Ni 1.99



NiB3Te: relaxed, PBE.

Computed properties:
ΔE to the lowest computed polymorph	1.261	eV per atom
electronic total energy	-16.30	eV for the cell shown
energy relative to the elements, uncorrected	2.530	eV per atom

abc: 4.3864 4.3864 4.3864
angles: 90.00 90.00 90.00
With the nearest neighbours (Å) after each atom.
Sites, in units of the cell vectors:
Te: 0.0000 0.0000 0.0000  6 B 2.19
B: 0.5000 0.0000 0.0000  2 Te 2.19
B: 0.0000 0.5000 0.0000  2 Te 2.19
B: 0.0000 0.0000 0.5000  2 Te 2.19
Ni: 0.5000 0.5000 0.5000  12 B 3.10



Q: Which value of energy relative to the elements, uncorrected does entry 3 give?
A: 2.530 eV per atom



Q: What is the energy relative to the elements, uncorrected in the second record?
A: 0.001 eV per atom



Q: energy relative to the elements, uncorrected of number 1 (NiBTe2)?
A: 0.796 eV per atom